No. 1
First-principles (PBE-GGA) data for an optimized crystal structure of LiZr2In2AgPt2, as listed in OQMD via LeMat-Bulk.

```
LiZr2In2AgPt2
1.0
4.6900 0.0000 0.0000
0.0000 4.6900 0.0000
0.0000 0.0000 6.6411
Li Zr In Ag Pt
1 2 2 1 2
direct
0.0000 0.0000 0.0000
0.0000 0.5000 0.2471
0.5000 0.0000 0.7529
0.0000 0.5000 0.7553
0.5000 0.0000 0.2447
0.5000 0.5000 0.5000
0.0000 0.0000 0.5000
0.5000 0.5000 0.0000
```

Values from the calculation:
**SG**: P-4m2, No. 115
**Volume**: 18.26 A^3/atom
**VASP energy**: -44.49 eV for the cell shown

No. 2
First-principles (PBE-GGA) data for an optimized crystal structure of TmSiNi2Ge, as listed in OQMD via LeMat-Bulk.

```
TmSiNi2Ge
1.0
-1.9888 1.9888 4.8322
1.9888 -1.9888 4.8322
1.9888 1.9888 -4.8322
Tm Si Ni Ge
1 1 2 1
direct
0.0000 0.0000 0.0000
0.3721 0.3721 0.0000
0.2565 0.7565 0.5000
0.7565 0.2565 0.5000
0.6238 0.6238 0.0000
```

Values from the calculation:
**SG**: I4mm, No. 107
**Volume**: 15.29 A^3/atom
**VASP energy**: -29.47 eV for the cell shown

No. 3
First-principles (PBE-GGA) data for an optimized crystal structure of TlCuSiTe3, as listed in OQMD via LeMat-Bulk.

```
TlCuSiTe3
1.0
1.9124 -7.4064 0.0000
1.9124 7.4064 0.0000
0.0000 0.0000 11.2510
Tl Cu Si Te
2 2 2 6
direct
0.2466 0.7534 0.7500
0.7534 0.2466 0.2500
0.0878 0.9122 0.2500
0.9122 0.0878 0.7500
0.5000 0.5000 0.0000
0.5000 0.5000 0.5000
0.1330 0.8670 0.0278
0.1330 0.8670 0.4722
0.4643 0.5357 0.2500
0.5357 0.4643 0.7500
0.8670 0.1330 0.5278
0.8670 0.1330 0.9722
```

Values from the calculation:
**SG**: Cmcm, No. 63
**Volume**: 26.56 A^3/atom
**VASP energy**: -42.21 eV for the cell shown

No. 4
First-principles (PBE-GGA) data for an optimized crystal structure of CoBPdAu, as listed in OQMD via LeMat-Bulk.

```
CoBPdAu
1.0
0.0000 2.9724 2.9724
2.9724 0.0000 2.9724
2.9724 2.9724 0.0000
Co B Pd Au
1 1 1 1
direct
0.0000 0.0000 0.0000
0.7500 0.7500 0.7500
0.5000 0.5000 0.5000
0.2500 0.2500 0.2500
```

Values from the calculation:
**SG**: F-43m, No. 216
**Energy above the most stable polymorph in this dataset**: 0.0 meV/atom
**Volume**: 13.13 A^3/atom

No. 5
First-principles (PBE-GGA) data for an optimized crystal structure of Si3Ni, as listed in OQMD via LeMat-Bulk.

```
Si3Ni
1.0
0.0000 2.9832 2.9832
2.9832 0.0000 2.9832
2.9832 2.9832 0.0000
Si Ni
3 1
direct
0.0000 0.0000 0.0000
0.2500 0.2500 0.2500
0.7500 0.7500 0.7500
0.5000 0.5000 0.5000
```

Values from the calculation:
**SG**: Fm-3m, No. 225
**Volume**: 13.27 A^3/atom
**VASP energy**: -20.70 eV for the cell shown

No. 6
First-principles (PBE-GGA) data for an optimized crystal structure of ZnCuBW, as listed in OQMD via LeMat-Bulk.

```
ZnCuBW
1.0
0.0000 2.9428 2.9428
2.9428 0.0000 2.9428
2.9428 2.9428 0.0000
Zn Cu B W
1 1 1 1
direct
0.0000 0.0000 0.0000
0.5000 0.5000 0.5000
0.2500 0.2500 0.2500
0.7500 0.7500 0.7500
```

Values from the calculation:
**SG**: F-43m, No. 216
**Energy above the most stable polymorph in this dataset**: 492.8 meV/atom
**Volume**: 12.74 A^3/atom

Q: Which of these has the highest volume?
A: TlCuSiTe3